[1]
V5Fe6Sn: relaxed, PBE-GGA.

a b c (Å): 4.120 5.889 7.139
angles (deg): 114.36 106.77 90.00
Atoms (fractional coordinates):
Fe 0.825 0.565 0.650
Fe 0.500 0.272 0.000
Sn 0.000 0.000 0.000
V 0.668 0.168 0.336
V 0.332 0.832 0.664
Fe 0.175 0.915 0.350
Fe 0.825 0.085 0.650
Fe 0.500 0.728 0.000
V 0.334 0.334 0.667
V 0.666 0.666 0.333
Fe 0.175 0.435 0.350
V 0.000 0.500 0.000

Results
The value obtained for the calculated formation energy is -0.091 eV/atom. Its space-group type is No. 71. The calculation puts the density of states at the Fermi level at 0.849 states/eV per atom. The total energy is -8.456 eV/atom.

[2]
V3FeSn: relaxed, PBE-GGA.

a b c (Å): 4.344 4.344 4.344
angles (deg): 90.00 90.00 90.00
Atoms (fractional coordinates):
V 0.000 0.000 0.500
Sn 0.500 0.500 0.500
Fe 0.000 0.000 0.000
V 0.500 0.000 0.000
V 0.000 0.500 0.000

Results
The value obtained for the calculated formation energy is 0.465 eV/atom. Its space-group type is No. 221. The calculation puts the density of states at the Fermi level at 1.360 states/eV per atom. The total energy is -7.499 eV/atom. The polymorph energy (0 for the lowest one) is 0.000 eV per atom.

[3]
YVFe2Sn: relaxed, PBE-GGA.

a b c (Å): 4.344 5.018 4.344
angles (deg): 90.00 90.00 90.00
Atoms (fractional coordinates):
V 0.000 0.000 0.000
Y 0.500 0.500 0.500
Fe 0.000 0.000 0.500
Sn 0.000 0.500 0.000
Fe 0.500 0.000 0.000

Results
The value obtained for the calculated formation energy is 0.574 eV/atom. Its space-group type is No. 123. The calculation puts the density of states at the Fermi level at 1.576 states/eV per atom. The total energy is -6.728 eV/atom.

[4]
Fe4SnW: relaxed, PBE-GGA.

a b c (Å): 4.821 4.821 4.821
angles (deg): 60.00 60.00 60.00
Atoms (fractional coordinates):
Fe 0.123 0.626 0.626
Fe 0.626 0.626 0.123
Sn 0.250 0.250 0.250
Fe 0.626 0.123 0.626
Fe 0.626 0.626 0.626
W 0.000 0.000 0.000

Results
The value obtained for the calculated formation energy is 0.134 eV/atom. Its space-group type is No. 216. The calculation puts the density of states at the Fermi level at 0.991 states/eV per atom. The total energy is -8.334 eV/atom.